No. 1
Computed, not measured: a relaxed structure of Na2NpCl2O2 at the PBE level of DFT.

Unit cell a=8.3750 b=8.3750 c=8.3750 alpha=150.38 beta=150.38 gamma=42.39
With the nearest neighbours (Å) after each atom.
Atoms (fractional coordinates):
1 Na 0.1356 0.1356 0.0000  5 Cl 2.91-3.10, 4 O 3.01
2 Na 0.8644 0.8644 0.0000  5 Cl 2.91-3.10, 4 O 3.01
3 Np 0.5000 0.5000 0.0000  4 O 2.14
4 Cl 0.3222 0.3222 0.0000  1 Np 2.78, 5 Na 2.91-3.10
5 Cl 0.6778 0.6778 0.0000  1 Np 2.78, 5 Na 2.91-3.10
6 O 0.0000 0.5000 0.5000  2 Np 2.14
7 O 0.5000 0.0000 0.5000  2 Np 2.14

Properties
Total magnetic moment   3.000 μB per cell
Space-group type   I4/mmm (139)

---

No. 2
Computed, not measured: a relaxed structure of In2PtSe at the PBE level of DFT.

Unit cell a=3.8356 b=3.8356 c=6.6596 alpha=90.00 beta=90.00 gamma=90.00
With the nearest neighbours (Å) after each atom.
Atoms (fractional coordinates):
1 In 0.0000 0.0000 0.0000  1 Pt 2.64, 4 Se 2.85
2 In 0.5000 0.5000 0.4293  4 Pt 2.72, 1 Se 2.92
3 Pt 0.0000 0.0000 0.3971  5 In 2.64-2.72
4 Se 0.5000 0.5000 0.8676  5 In 2.85-2.92

Properties
Total magnetic moment   0.000 μB per cell
Space-group type   P4mm (99)

---

| no. | uncorrected formation energy (eV/atom) |
| --- | --- |
| 1 | -2.15 |
| 2 | -0.31 |